(1)
A plane-wave DFT calculation with SCAN was carried out for SrP3H15N4O10 at its PBEsol-relaxed geometry.

The structure in CIF format:
```
data_SrP3H15N4O10
_cell_length_a 10.3620
_cell_length_b 10.7163
_cell_length_c 11.8676
_cell_angle_alpha 68.68
_cell_angle_beta 90.00
_cell_angle_gamma 90.00
_space_group_name_H-M_alt 'P 1'
_space_group_IT_number 1
_space_group_name_Hall 'P 1'
loop_
_atom_site_label
_atom_site_fract_x
_atom_site_fract_y
_atom_site_fract_z
Sr1 0.0246 0.2954 0.5464
Sr2 0.4754 0.7954 0.0464
Sr3 0.9754 0.7046 0.4536
Sr4 0.5246 0.2046 0.9536
P1 0.3626 0.2647 0.6491
P2 0.1374 0.7647 0.1491
P3 0.6374 0.7353 0.3509
P4 0.8626 0.2353 0.8509
P5 0.2834 0.5408 0.5018
P6 0.2166 0.0408 0.0018
P7 0.7166 0.4592 0.4982
P8 0.7834 0.9592 0.9982
P9 0.3469 0.3454 0.3897
P10 0.1531 0.8454 0.8897
P11 0.6531 0.6546 0.6103
P12 0.8469 0.1546 0.1103
H1 0.4497 0.4634 0.6353
H2 0.0503 0.9634 0.1353
H3 0.5503 0.5366 0.3647
H4 0.9497 0.0366 0.8647
H5 0.3175 0.5780 0.3006
H6 0.1825 0.0780 0.8006
H7 0.6825 0.4220 0.6994
H8 0.8175 0.9220 0.1994
H9 0.5232 0.2758 0.5136
H10 0.9768 0.7758 0.0136
H11 0.4768 0.7242 0.4864
H12 0.0232 0.2242 0.9864
H13 0.6714 0.0298 0.6266
H14 0.8286 0.5298 0.1266
H15 0.3286 0.9702 0.3734
H16 0.1714 0.4702 0.8734
H17 0.7329 0.0616 0.7465
H18 0.7671 0.5616 0.2465
H19 0.2671 0.9384 0.2535
H20 0.2329 0.4384 0.7535
H21 0.5761 0.1011 0.7113
H22 0.9239 0.6011 0.2113
H23 0.4239 0.8989 0.2887
H24 0.0761 0.3989 0.7887
H25 0.6256 0.9374 0.7713
H26 0.8744 0.4374 0.2713
H27 0.3744 0.0626 0.2287
H28 0.1256 0.5626 0.7287
H29 0.7916 0.2667 0.4141
H30 0.7084 0.7667 0.9141
H31 0.2084 0.7333 0.5859
H32 0.2916 0.2333 0.0859
H33 0.8828 0.2188 0.3250
H34 0.6172 0.7188 0.8250
H35 0.1172 0.7812 0.6750
H36 0.3828 0.2812 0.1750
H37 0.8861 0.0326 0.5693
H38 0.6139 0.5326 0.0693
H39 0.1139 0.9674 0.4307
H40 0.3861 0.4674 0.9307
H41 0.9945 0.9768 0.6748
H42 0.5055 0.4768 0.1748
H43 0.0055 0.0232 0.3252
H44 0.4945 0.5232 0.8252
H45 0.2504 0.0995 0.4759
H46 0.2496 0.5995 0.9759
H47 0.7496 0.9005 0.5241
H48 0.7504 0.4005 0.0241
H49 0.3065 0.9539 0.5642
H50 0.1935 0.4539 0.0642
H51 0.6935 0.0461 0.4358
H52 0.8065 0.5461 0.9358
H53 0.6450 0.1644 0.2416
H54 0.8550 0.6644 0.7416
H55 0.3550 0.8356 0.7584
H56 0.1450 0.3356 0.2584
H57 0.5469 0.2066 0.3239
H58 0.9531 0.7066 0.8239
H59 0.4531 0.7934 0.6761
H60 0.0469 0.2934 0.1761
N1 0.3572 0.4315 0.6250
N2 0.1428 0.9315 0.1250
N3 0.6428 0.5685 0.3750
N4 0.8572 0.0685 0.8750
N5 0.3456 0.5056 0.3845
N6 0.1544 0.0056 0.8845
N7 0.6544 0.4944 0.6155
N8 0.8456 0.9944 0.1155
N9 0.4220 0.2588 0.5188
N10 0.0780 0.7588 0.0188
N11 0.5780 0.7412 0.4812
N12 0.9220 0.2412 0.9812
N13 0.6499 0.0343 0.7119
N14 0.8501 0.5343 0.2119
N15 0.3501 0.9657 0.2881
N16 0.1499 0.4657 0.7881
O1 0.2262 0.2122 0.6671
O2 0.2738 0.7122 0.1671
O3 0.7738 0.7878 0.3329
O4 0.7262 0.2878 0.8329
O5 0.4605 0.2033 0.7474
O6 0.0395 0.7033 0.2474
O7 0.5395 0.7967 0.2526
O8 0.9605 0.2967 0.7526
O9 0.1399 0.5111 0.5143
O10 0.3601 0.0111 0.0143
O11 0.8601 0.4889 0.4857
O12 0.6399 0.9889 0.9857
O13 0.3198 0.6816 0.4896
O14 0.1802 0.1816 0.9896
O15 0.6802 0.3184 0.5104
O16 0.8198 0.8184 0.0104
O17 0.2105 0.2894 0.3982
O18 0.2895 0.7894 0.8982
O19 0.7895 0.7106 0.6018
O20 0.7105 0.2106 0.1018
O21 0.4283 0.3424 0.2843
O22 0.0717 0.8424 0.7843
O23 0.5717 0.6576 0.7157
O24 0.9283 0.1576 0.2157
O25 0.8788 0.2741 0.3770
O26 0.6212 0.7741 0.8770
O27 0.1212 0.7259 0.6230
O28 0.3788 0.2259 0.1230
O29 0.9544 0.0589 0.6160
O30 0.5456 0.5589 0.1160
O31 0.0456 0.9411 0.3840
O32 0.4544 0.4411 0.8840
O33 0.2537 0.0032 0.4887
O34 0.2463 0.5032 0.9887
O35 0.7463 0.9968 0.5113
O36 0.7537 0.4968 0.0113
O37 0.6075 0.1348 0.3248
O38 0.8925 0.6348 0.8248
O39 0.3925 0.8652 0.6752
O40 0.1075 0.3652 0.1752
```

Calculated values
VASP energy	-7.54	eV per atom
DOS at the Fermi energy	0.0	states/eV/cell


(2)
A plane-wave DFT calculation with SCAN was carried out for Ti2P3H7NO13 at its PBEsol-relaxed geometry.

The structure in CIF format:
```
data_Ti2P3H7NO13
_cell_length_a 9.9485
_cell_length_b 9.9485
_cell_length_c 9.9485
_cell_angle_alpha 90.00
_cell_angle_beta 90.00
_cell_angle_gamma 90.00
_space_group_name_H-M_alt 'P 1'
_space_group_IT_number 1
_space_group_name_Hall 'P 1'
loop_
_atom_site_label
_atom_site_fract_x
_atom_site_fract_y
_atom_site_fract_z
Ti1 0.4120 0.9120 0.5880
Ti2 0.9120 0.5880 0.4120
Ti3 0.5880 0.4120 0.9120
Ti4 0.0880 0.0880 0.0880
Ti5 0.1417 0.6417 0.8583
Ti6 0.6417 0.8583 0.1417
Ti7 0.8583 0.1417 0.6417
Ti8 0.3583 0.3583 0.3583
P1 0.1254 0.9599 0.7704
P2 0.2296 0.6254 0.5401
P3 0.4599 0.7296 0.8746
P4 0.6254 0.5401 0.2296
P5 0.7296 0.8746 0.4599
P6 0.9599 0.7704 0.1254
P7 0.8746 0.4599 0.7296
P8 0.7704 0.1254 0.9599
P9 0.5401 0.2296 0.6254
P10 0.3746 0.0401 0.2704
P11 0.2704 0.3746 0.0401
P12 0.0401 0.2704 0.3746
H1 0.3247 0.0422 0.9275
H2 0.0725 0.8247 0.4578
H3 0.5422 0.5725 0.6753
H4 0.8247 0.4578 0.0725
H5 0.5725 0.6753 0.5422
H6 0.0422 0.9275 0.3247
H7 0.6753 0.5422 0.5725
H8 0.9275 0.3247 0.0422
H9 0.4578 0.0725 0.8247
H10 0.1753 0.9578 0.4275
H11 0.4275 0.1753 0.9578
H12 0.9578 0.4275 0.1753
H13 0.4840 0.0160 0.9840
H14 0.0160 0.9840 0.4840
H15 0.5160 0.5160 0.5160
H16 0.9840 0.4840 0.0160
H17 0.9197 0.8108 0.7916
H18 0.2084 0.4197 0.6892
H19 0.3108 0.7084 0.0803
H20 0.4197 0.6892 0.2084
H21 0.7084 0.0803 0.3108
H22 0.8108 0.7916 0.9197
H23 0.0803 0.3108 0.7084
H24 0.7916 0.9197 0.8108
H25 0.6892 0.2084 0.4197
H26 0.5803 0.1892 0.2916
H27 0.2916 0.5803 0.1892
H28 0.1892 0.2916 0.5803
N1 0.4242 0.0758 0.9242
N2 0.0758 0.9242 0.4242
N3 0.5758 0.5758 0.5758
N4 0.9242 0.4242 0.0758
O1 0.2559 0.9732 0.6905
O2 0.3095 0.7559 0.5268
O3 0.4732 0.8095 0.7441
O4 0.7559 0.5268 0.3095
O5 0.8095 0.7441 0.4732
O6 0.9732 0.6905 0.2559
O7 0.7441 0.4732 0.8095
O8 0.6905 0.2559 0.9732
O9 0.5268 0.3095 0.7559
O10 0.2441 0.0268 0.1905
O11 0.1905 0.2441 0.0268
O12 0.0268 0.1905 0.2441
O13 0.0743 0.8112 0.7666
O14 0.2334 0.5743 0.6888
O15 0.3112 0.7334 0.9257
O16 0.5743 0.6888 0.2334
O17 0.7334 0.9257 0.3112
O18 0.8112 0.7666 0.0743
O19 0.9257 0.3112 0.7334
O20 0.7666 0.0743 0.8112
O21 0.6888 0.2334 0.5743
O22 0.4257 0.1888 0.2666
O23 0.2666 0.4257 0.1888
O24 0.1888 0.2666 0.4257
O25 0.1489 0.0023 0.9175
O26 0.0825 0.6489 0.4977
O27 0.5023 0.5825 0.8511
O28 0.6489 0.4977 0.0825
O29 0.5825 0.8511 0.5023
O30 0.0023 0.9175 0.1489
O31 0.8511 0.5023 0.5825
O32 0.9175 0.1489 0.0023
O33 0.4977 0.0825 0.6489
O34 0.3511 0.9977 0.4175
O35 0.4175 0.3511 0.9977
O36 0.9977 0.4175 0.3511
O37 0.0176 0.0473 0.7035
O38 0.2965 0.5176 0.4527
O39 0.5473 0.7965 0.9824
O40 0.5176 0.4527 0.2965
O41 0.7965 0.9824 0.5473
O42 0.0473 0.7035 0.0176
O43 0.9824 0.5473 0.7965
O44 0.7035 0.0176 0.0473
O45 0.4527 0.2965 0.5176
O46 0.4824 0.9527 0.2035
O47 0.2035 0.4824 0.9527
O48 0.9527 0.2035 0.4824
O49 0.8194 0.8194 0.8194
O50 0.1806 0.3194 0.6806
O51 0.3194 0.6806 0.1806
O52 0.6806 0.1806 0.3194
```

Calculated values
VASP energy	-8.89	eV per atom
DOS at the Fermi energy	21.9	states/eV/cell


(3)
A plane-wave DFT calculation with SCAN was carried out for VPH5NO6 at its PBEsol-relaxed geometry.

The structure in CIF format:
```
data_VPH5NO6
_cell_length_a 6.7996
_cell_length_b 8.7025
_cell_length_c 9.0859
_cell_angle_alpha 90.00
_cell_angle_beta 90.00
_cell_angle_gamma 90.00
_space_group_name_H-M_alt 'P 1'
_space_group_IT_number 1
_space_group_name_Hall 'P 1'
loop_
_atom_site_label
_atom_site_fract_x
_atom_site_fract_y
_atom_site_fract_z
V1 0.5402 0.4810 0.0318
V2 0.4598 0.5190 0.5318
V3 0.9598 0.4810 0.5318
V4 0.0402 0.5190 0.0318
P1 0.3193 0.8043 0.9704
P2 0.6807 0.1957 0.4704
P3 0.1807 0.8043 0.4704
P4 0.8193 0.1957 0.9704
H1 0.8408 0.7735 0.6785
H2 0.1592 0.2265 0.1785
H3 0.6592 0.7735 0.1785
H4 0.3408 0.2265 0.6785
H5 0.8417 0.9011 0.8192
H6 0.1583 0.0989 0.3192
H7 0.6583 0.9011 0.3192
H8 0.3417 0.0989 0.8192
H9 0.7028 0.7094 0.3524
H10 0.2972 0.2906 0.8524
H11 0.7972 0.7094 0.8524
H12 0.2028 0.2906 0.3524
H13 0.6260 0.8223 0.7706
H14 0.3740 0.1777 0.2706
H15 0.8740 0.8223 0.2706
H16 0.1260 0.1777 0.7706
H17 0.2192 0.8982 0.1882
H18 0.7808 0.1018 0.6882
H19 0.2808 0.8982 0.6882
H20 0.7192 0.1018 0.1882
N1 0.7769 0.8008 0.7792
N2 0.2231 0.1992 0.2792
N3 0.7231 0.8008 0.2792
N4 0.2769 0.1992 0.7792
O1 0.2972 0.4467 0.9796
O2 0.7028 0.5533 0.4796
O3 0.2028 0.4467 0.4796
O4 0.7972 0.5533 0.9796
O5 0.1295 0.7073 0.9497
O6 0.8705 0.2927 0.4497
O7 0.3705 0.7073 0.4497
O8 0.6295 0.2927 0.9497
O9 0.4880 0.7003 0.0285
O10 0.5120 0.2997 0.5285
O11 0.0120 0.7003 0.5285
O12 0.9880 0.2997 0.0285
O13 0.2820 0.9316 0.0878
O14 0.7180 0.0684 0.5878
O15 0.2180 0.9316 0.5878
O16 0.7820 0.0684 0.0878
O17 0.5472 0.4512 0.2053
O18 0.4528 0.5488 0.7053
O19 0.9528 0.4512 0.7053
O20 0.0472 0.5488 0.2053
O21 0.3800 0.8855 0.8291
O22 0.6200 0.1145 0.3291
O23 0.1200 0.8855 0.3291
O24 0.8800 0.1145 0.8291
```

Calculated values
VASP energy	-8.19	eV per atom
DOS at the Fermi energy	0.0	states/eV/cell


(4)
A plane-wave DFT calculation with SCAN was carried out for VPH7N2O5 at its PBEsol-relaxed geometry.

The structure in CIF format:
```
data_VPH7N2O5
_cell_length_a 4.8632
_cell_length_b 6.6912
_cell_length_c 8.4249
_cell_angle_alpha 90.49
_cell_angle_beta 90.00
_cell_angle_gamma 90.00
_space_group_name_H-M_alt 'P 1'
_space_group_IT_number 1
_space_group_name_Hall 'P 1'
loop_
_atom_site_label
_atom_site_fract_x
_atom_site_fract_y
_atom_site_fract_z
V1 0.6609 0.3517 0.6583
V2 0.1609 0.6483 0.3417
P1 0.7069 0.3716 0.2766
P2 0.2069 0.6284 0.7234
H1 0.2218 0.0441 0.9394
H2 0.4139 0.0831 0.4617
H3 0.2948 0.0632 0.6458
H4 0.0488 0.1812 0.0811
H5 0.3947 0.1581 0.0921
H6 0.1781 0.2416 0.5233
H7 0.2595 0.2955 0.9426
H8 0.7595 0.7045 0.0574
H9 0.6781 0.7584 0.4767
H10 0.8947 0.8419 0.9079
H11 0.5488 0.8188 0.9189
H12 0.7948 0.9368 0.3542
H13 0.9139 0.9169 0.5383
H14 0.7218 0.9559 0.0606
N1 0.3511 0.1647 0.5594
N2 0.2300 0.1689 0.0137
N3 0.7300 0.8311 0.9863
N4 0.8511 0.8353 0.4406
O1 0.7482 0.1680 0.1966
O2 0.8063 0.1685 0.7467
O3 0.8328 0.3756 0.4493
O4 0.3989 0.4221 0.2774
O5 0.3792 0.4619 0.8060
O6 0.8792 0.5381 0.1940
O7 0.8989 0.5779 0.7226
O8 0.3328 0.6244 0.5507
O9 0.3063 0.8315 0.2533
O10 0.2482 0.8320 0.8034
```

Calculated values
VASP energy	-7.75	eV per atom
DOS at the Fermi energy	0.0	states/eV/cell


(5)
A plane-wave DFT calculation with SCAN was carried out for ZnP3H12NO13 at its PBEsol-relaxed geometry.

The structure in CIF format:
```
data_ZnP3H12NO13
_cell_length_a 7.2390
_cell_length_b 8.5812
_cell_length_c 10.3229
_cell_angle_alpha 71.68
_cell_angle_beta 76.11
_cell_angle_gamma 68.81
_space_group_name_H-M_alt 'P 1'
_space_group_IT_number 1
_space_group_name_Hall 'P 1'
loop_
_atom_site_label
_atom_site_fract_x
_atom_site_fract_y
_atom_site_fract_z
Zn1 0.0000 0.0000 0.0000
Zn2 0.5000 0.5000 0.5000
P1 0.6982 0.7712 0.0682
P2 0.3018 0.2288 0.9318
P3 0.1469 0.1179 0.2251
P4 0.8531 0.8821 0.7749
P5 0.9321 0.4789 0.2455
P6 0.0679 0.5211 0.7545
H1 0.1928 0.6657 0.0629
H2 0.8072 0.3343 0.9371
H3 0.3364 0.7776 0.0430
H4 0.6636 0.2224 0.9570
H5 0.5788 0.2215 0.3990
H6 0.4212 0.7785 0.6010
H7 0.3796 0.8424 0.4430
H8 0.6204 0.1576 0.5570
H9 0.3841 0.6876 0.2630
H10 0.6159 0.3124 0.7370
H11 0.2592 0.5536 0.3076
H12 0.7408 0.4464 0.6924
H13 0.4934 0.1064 0.2848
H14 0.5066 0.8936 0.7152
H15 0.6680 0.1803 0.1840
H16 0.3320 0.8197 0.8160
H17 0.8037 0.9157 0.3457
H18 0.1963 0.0843 0.6543
H19 0.0230 0.7649 0.3916
H20 0.9770 0.2351 0.6084
H21 0.1729 0.1680 0.4860
H22 0.8271 0.8320 0.5140
H23 0.8146 0.7053 0.4171
H24 0.1854 0.2947 0.5829
N1 0.8683 0.8028 0.4183
N2 0.1317 0.1972 0.5817
O1 0.4816 0.7941 0.1246
O2 0.5184 0.2059 0.8754
O3 0.7979 0.8739 0.1045
O4 0.2021 0.1261 0.8955
O5 0.2862 0.1998 0.0946
O6 0.7138 0.8002 0.9054
O7 0.8248 0.5692 0.1079
O8 0.1752 0.4308 0.8921
O9 0.2650 0.0525 0.3439
O10 0.7350 0.9475 0.6561
O11 0.0650 0.0021 0.1904
O12 0.9350 0.9979 0.8096
O13 0.9590 0.2824 0.2527
O14 0.0410 0.7176 0.7473
O15 0.7856 0.5269 0.3677
O16 0.2144 0.4731 0.6323
O17 0.1313 0.5091 0.2174
O18 0.8687 0.4909 0.7826
O19 0.7673 0.2337 0.0019
O20 0.2327 0.7663 0.9981
O21 0.5421 0.2566 0.4901
O22 0.4579 0.7434 0.5099
O23 0.3184 0.6162 0.3460
O24 0.6816 0.3838 0.6540
O25 0.6192 0.1304 0.2817
O26 0.3808 0.8696 0.7183
```

Calculated values
VASP energy	-7.39	eV per atom
DOS at the Fermi energy	0.0	states/eV/cell


(6)
A plane-wave DFT calculation with SCAN was carried out for ZnP4H16N2O16 at its PBEsol-relaxed geometry.

The structure in CIF format:
```
data_ZnP4H16N2O16
_cell_length_a 7.0762
_cell_length_b 7.2840
_cell_length_c 7.6564
_cell_angle_alpha 80.16
_cell_angle_beta 71.45
_cell_angle_gamma 90.30
_space_group_name_H-M_alt 'P 1'
_space_group_IT_number 1
_space_group_name_Hall 'P 1'
loop_
_atom_site_label
_atom_site_fract_x
_atom_site_fract_y
_atom_site_fract_z
Zn1 0.0000 0.5000 0.0000
P1 0.1668 0.7493 0.2590
P2 0.8332 0.2507 0.7410
P3 0.7539 0.7777 0.2638
P4 0.2461 0.2223 0.7362
H1 0.4252 0.2850 0.3254
H2 0.5748 0.7150 0.6746
H3 0.5542 0.3201 0.0905
H4 0.4458 0.6799 0.9095
H5 0.3231 0.4026 0.1679
H6 0.6526 0.8317 0.8163
H7 0.8792 0.2991 0.3483
H8 0.1208 0.7009 0.6517
H9 0.3474 0.1683 0.1837
H10 0.1202 0.8371 0.7980
H11 0.2383 0.9867 0.0103
H12 0.7617 0.0133 0.9897
H13 0.4260 0.7239 0.4281
H14 0.5740 0.2761 0.5719
H15 0.6769 0.5974 0.8321
H16 0.8798 0.1629 0.2020
N1 0.4132 0.2940 0.1914
N2 0.5868 0.7060 0.8086
O1 0.9294 0.7575 0.3567
O2 0.0545 0.7212 0.7827
O3 0.9455 0.2788 0.2173
O4 0.7602 0.3095 0.5751
O5 0.7479 0.0505 0.8454
O6 0.7969 0.3833 0.8806
O7 0.2521 0.9495 0.1546
O8 0.0706 0.2425 0.6433
O9 0.7754 0.9793 0.1572
O10 0.2246 0.0207 0.8428
O11 0.5698 0.7499 0.4456
O12 0.4302 0.2501 0.5544
O13 0.7582 0.6312 0.1463
O14 0.2418 0.3688 0.8537
O15 0.2398 0.6905 0.4249
O16 0.2031 0.6167 0.1194
```

Calculated values
VASP energy	-7.36	eV per atom
DOS at the Fermi energy	0.0	states/eV/cell